10
Lattice="0.000 6.218 6.218 6.218 0.000 6.218 6.218 6.218 0.000" Properties=species:S:1:pos:R:3 comment="Rb2HfZnI6 | the Alexandria database | PBE | relaxed" space_group="Fm-3m (225)" n_ef_per_ev_atom=0.000 crystal_system=cubic e_form_raw_ev_per_atom=-0.93 total_magnetization_mub_per_fu=0.000 pbc="T T T"
Rb 3.109 3.109 3.109
Rb 9.326 9.326 9.326
Hf 0.000 0.000 0.000
Zn 6.218 6.218 6.218
I 6.218 6.218 2.866
I 6.218 2.866 6.218
I 9.570 6.218 6.218
I 2.866 6.218 6.218
I 6.218 9.570 6.218
I 6.218 6.218 9.570